MnTcCl2 | the Alexandria database | PBE | optimized geometry; energy relative to the lowest polymorph listed for this composition = 597 meV per atom; E_form (uncorrected) = 0.400 eV per atom
1.0
-2.0726 -1.9834 -1.0053
2.7985 -4.2897 2.6938
-2.2681 0.6507 3.3925
Tc Mn Cl
1 1 2
Direct
0.0000 0.5000 0.5000 Tc
0.5000 0.0000 0.5000 Mn
0.5000 0.5000 0.0000 Cl
0.0000 0.0000 0.0000 Cl

Pm2Mn2Zn15 | the Alexandria database | PBE | optimized geometry; energy relative to the elements = -0.181 eV/atom
1.0
-4.3620 5.0493 -1.4795
-2.2893 -2.5129 -5.9292
-5.6566 -2.9751 2.4212
Zn Pm Mn
15 2 2
Direct
0.2849 0.7151 0.0000 Zn
0.0000 0.2849 0.7151 Zn
0.7151 0.0000 0.2849 Zn
0.7151 0.2849 0.0000 Zn
0.6482 0.6482 0.1531 Zn
0.0000 0.0000 0.5000 Zn
0.3518 0.3518 0.8469 Zn
0.2849 0.0000 0.7151 Zn
0.3518 0.8469 0.3518 Zn
0.6482 0.1531 0.6482 Zn
0.1531 0.6482 0.6482 Zn
0.0000 0.7151 0.2849 Zn
0.8469 0.3518 0.3518 Zn
0.0000 0.5000 0.0000 Zn
0.5000 0.0000 0.0000 Zn
0.3372 0.3372 0.3372 Pm
0.6628 0.6628 0.6628 Pm
0.0992 0.0992 0.0992 Mn
0.9008 0.9008 0.9008 Mn

Ba2Er2Zn8O13 | the Alexandria database | PBE | optimized geometry; E_form (uncorrected) = -2.009 eV per atom
1.0
-1.2540 -4.1834 4.7436
-0.5608 -6.3013 -1.2468
10.3577 -1.2536 1.6418
Zn O Ba Er
8 13 2 2
Direct
0.5124 0.5124 0.0818 Zn
0.6066 0.1713 0.8509 Zn
0.3358 0.3358 0.3216 Zn
0.8398 0.3336 0.3390 Zn
0.5021 0.5021 0.5818 Zn
0.3336 0.8398 0.3390 Zn
0.6654 0.6654 0.8283 Zn
0.1713 0.6066 0.8509 Zn
0.9976 0.9976 0.2689 O
0.8386 0.3005 0.5264 O
0.6766 0.6766 0.0139 O
0.5047 0.9959 0.7540 O
0.7011 0.1705 0.0193 O
0.5053 0.5053 0.2693 O
0.5004 0.9975 0.2637 O
0.9959 0.5047 0.7540 O
0.3005 0.8386 0.5264 O
0.9975 0.5004 0.2637 O
0.1705 0.7011 0.0193 O
0.4938 0.4938 0.7727 O
0.3372 0.3372 0.5085 O
0.8546 0.8546 0.4919 Ba
0.1452 0.1452 0.0620 Ba
0.1872 0.1872 0.6236 Er
0.8307 0.8307 0.1430 Er

CdAsBr2 | the Alexandria database | PBE | optimized geometry; energy relative to the lowest polymorph listed for this composition = 212 meV per atom; E_form (uncorrected) = -0.067 eV per atom
1.0
-1.2679 -2.0117 3.0274
3.7612 0.7272 -0.3795
-1.0599 8.0384 4.8975
Br Cd As
2 1 1
Direct
0.5000 0.5000 0.3205 Br
0.0000 0.0000 0.9311 Br
0.0000 0.0000 0.5161 Cd
0.5000 0.5000 0.7323 As

SiAsO2F | the Alexandria database | PBE | optimized geometry; E_form (uncorrected) = -0.490 eV per atom
1.0
3.9782 0.0000 0.0000
0.0000 3.9782 0.0000
0.0000 0.0000 4.0430
As Si O F
1 1 2 1
Direct
0.0000 0.0000 0.0000 As
0.5000 0.5000 0.5000 Si
0.5000 0.0000 0.0000 O
0.0000 0.5000 0.0000 O
0.0000 0.0000 0.5000 F

V3NiBi | the Alexandria database | PBE | optimized geometry; energy relative to the lowest polymorph listed for this composition = 1286 meV per atom; energy relative to the elements = 1.979 eV/atom
1.0
-1.1828 -5.0325 0.2577
2.6401 -0.3934 4.4346
-4.2921 1.1448 2.6568
V Ni Bi
3 1 1
Direct
0.0000 0.0000 0.5000 V
0.5000 0.0000 0.0000 V
0.0000 0.5000 0.0000 V
0.5000 0.5000 0.5000 Ni
0.0000 0.0000 0.0000 Bi

RuPt3C | the Alexandria database | PBE | optimized geometry; energy relative to the lowest polymorph listed for this composition = 0 meV per atom; energy relative to the elements = 0.734 eV/atom
1.0
-0.3549 -3.3291 -2.4890
-0.9833 -2.3599 3.2967
-4.0387 0.8671 -0.5839
Pt Ru C
3 1 1
Direct
0.0000 0.0000 0.5000 Pt
0.5000 0.0000 0.0000 Pt
0.0000 0.5000 0.0000 Pt
0.5000 0.5000 0.5000 Ru
0.0000 0.0000 0.0000 C

Pm4Ga12Pt | the Alexandria database | PBE | optimized geometry; energy relative to the elements = -0.651 eV/atom
1.0
-2.0309 6.2841 -3.7109
-3.6298 -5.9589 -2.9498
-1.8168 0.6924 7.3216
Ga Pt Pm
12 1 4
Direct
0.2967 0.2967 0.0000 Ga
0.2500 0.7500 0.5000 Ga
0.0000 0.7033 0.7033 Ga
0.7033 0.0000 0.7033 Ga
0.0000 0.2967 0.2967 Ga
0.5000 0.2500 0.7500 Ga
0.7033 0.7033 0.0000 Ga
0.7500 0.2500 0.5000 Ga
0.2500 0.5000 0.7500 Ga
0.2967 0.0000 0.2967 Ga
0.5000 0.7500 0.2500 Ga
0.7500 0.5000 0.2500 Ga
0.0000 0.0000 0.0000 Pt
0.5000 0.0000 0.0000 Pm
0.5000 0.5000 0.5000 Pm
0.0000 0.5000 0.0000 Pm
0.0000 0.0000 0.5000 Pm

Nb2TlCu | the Alexandria database | PBE | optimized geometry; energy relative to the elements = 0.656 eV/atom
1.0
3.8915 0.0000 0.0000
0.0000 3.8915 0.0000
1.9457 1.9457 10.0797
Cu Nb Tl
2 4 2
Direct
0.5000 0.5000 0.0000 Cu
0.2500 0.7500 0.5000 Cu
0.3750 0.3808 0.7500 Nb
0.6192 0.1250 0.2500 Nb
0.1308 0.6250 0.2500 Nb
0.8750 0.8692 0.7500 Nb
0.0000 0.0000 0.0000 Tl
0.7500 0.2500 0.5000 Tl

RbHg2Pd2 | the Alexandria database | PBE | optimized geometry; energy relative to the lowest polymorph listed for this composition = 50 meV per atom; energy relative to the elements = -0.079 eV/atom
1.0
8.5570 0.0000 0.0000
0.0000 8.5570 0.0000
0.0000 0.0000 3.0660
Rb Hg Pd
2 4 4
Direct
0.5000 0.5000 0.0000 Rb
0.0000 0.0000 0.0000 Rb
0.6313 0.1313 0.0000 Hg
0.3687 0.8687 0.0000 Hg
0.8687 0.6313 0.0000 Hg
0.1313 0.3687 0.0000 Hg
0.1642 0.6642 0.5000 Pd
0.3358 0.1642 0.5000 Pd
0.8358 0.3358 0.5000 Pd
0.6642 0.8358 0.5000 Pd

Al2PBr | the Alexandria database | PBE | optimized geometry; energy relative to the lowest polymorph listed for this composition = 91 meV per atom; E_form (uncorrected) = -0.172 eV per atom
1.0
-0.4533 -4.8681 6.8642
-2.2521 -6.9212 4.2480
1.5231 -6.9968 4.4438
P Al Br
1 2 1
Direct
0.7090 0.7090 0.7090 P
0.0110 0.0110 0.0110 Al
0.2580 0.2580 0.2580 Al
0.5220 0.5220 0.5220 Br

SmEr5 | the Alexandria database | PBE | optimized geometry; energy relative to the lowest polymorph listed for this composition = 0 meV per atom; energy relative to the elements = 0.005 eV/atom
1.0
-2.6650 -0.7826 -2.2985
-1.8518 -2.5835 5.8540
-2.7940 7.8775 0.5573
Er Sm
5 1
Direct
0.3347 0.6695 0.6642 Er
0.3892 0.7784 0.2804 Er
0.6663 0.3326 0.3341 Er
0.0553 0.1107 0.6094 Er
0.9995 0.9990 0.0026 Er
0.7216 0.4432 0.9426 Sm